# PrPuSe2 (PBE-GGA, relaxed)
# Raw formation energy ... -1.647 eV per atom
# DOS at the Fermi energy ... 21.96 states/eV per cell
# E above lowest polymorph ... 57 meV/atom
data_PrPuSe2
_cell_length_a 4.1215
_cell_length_b 4.1215
_cell_length_c 14.4249
_cell_angle_alpha 90.00
_cell_angle_beta 90.00
_cell_angle_gamma 120.00
_space_group_name_H-M_alt 'P 63/m m c'
_space_group_IT_number 194
_space_group_name_Hall '-P 6c 2c'
loop_
_atom_site_label
_atom_site_type_symbol
_atom_site_fract_x
_atom_site_fract_y
_atom_site_fract_z
Pr1 Pr 0.0000 0.0000 0.0000
Pu1 Pu 0.3333 0.6667 0.2500
Se1 Se 0.3333 0.6667 0.6266